# 1
A plane-wave DFT calculation with PBE was carried out for an optimized crystal structure of Cr3MoPd12.

## Properties
Space group ... No. 123
ρ ... 10.6 g/cm3
DFT total energy ... -103.23 eV per formula unit
ΔE_f ... -0.0760 eV per atom

Geometry as POSCAR:
```
Cr3MoPd12
1.0
3.920 0.000 0.000
0.000 3.920 0.000
0.000 0.000 15.655
Cr Mo Pd
3 1 12
Direct
0.000 0.000 0.000
0.000 0.000 0.244
0.000 0.000 0.756
0.000 0.000 0.500
0.000 0.500 0.124
0.000 0.500 0.377
0.000 0.500 0.623
0.000 0.500 0.876
0.500 0.000 0.124
0.500 0.000 0.377
0.500 0.000 0.623
0.500 0.000 0.876
0.500 0.500 0.000
0.500 0.500 0.250
0.500 0.500 0.500
0.500 0.500 0.750
```

=====

# 2
A plane-wave DFT calculation with PBE was carried out for an optimized crystal structure of CrMo2Pd.

## Properties
Space group ... No. 122
ρ ... 8.9 g/cm3
DFT total energy ... -33.95 eV per formula unit
ΔE_f ... 0.6324 eV per atom

Geometry as POSCAR:
```
CrMo2Pd
1.0
-1.847 1.847 9.614
1.847 -1.847 9.614
1.847 1.847 -9.614
Cr Mo Pd
2 4 2
Direct
0.000 0.000 0.000
0.750 0.250 0.500
0.109 0.625 0.984
0.375 0.359 0.484
0.641 0.125 0.016
0.875 0.891 0.516
0.250 0.750 0.500
0.500 0.500 0.000
```

=====

# 3
A plane-wave DFT calculation with PBE was carried out for an optimized crystal structure of Cr3MoPd.

## Properties
Space group ... No. 221
ρ ... 6.9 g/cm3
DFT total energy ... -34.63 eV per formula unit
ΔE_f ... 2.0537 eV per atom

Geometry as POSCAR:
```
Cr3MoPd
1.0
4.423 0.000 0.000
0.000 4.423 0.000
0.000 0.000 4.423
Cr Mo Pd
3 1 1
Direct
0.000 0.000 0.500
0.000 0.500 0.000
0.500 0.000 0.000
0.500 0.500 0.500
0.000 0.000 0.000
```

=====

# 4
A plane-wave DFT calculation with PBE was carried out for an optimized crystal structure of Cr3MoPd.

## Properties
Space group ... No. 221
ρ ... 7.0 g/cm3
DFT total energy ... -36.78 eV per formula unit
ΔE_f ... 1.6233 eV per atom

Geometry as POSCAR:
```
Cr3MoPd
1.0
4.401 0.000 0.000
0.000 4.401 0.000
0.000 0.000 4.401
Cr Mo Pd
3 1 1
Direct
0.000 0.000 0.500
0.000 0.500 0.000
0.500 0.000 0.000
0.000 0.000 0.000
0.500 0.500 0.500
```

=====

Number 4 is which compound?
Cr3MoPd